La2CrPb | PBE | optimized geometry

Its electronic total energy is -22.49 eV/cell. As for the space group: No. 12. The calculation puts the density at 7.141 Mg/m³. For the density of states at the Fermi level, the calculation gives 0.82 states/eV per atom.

Cell and atoms, written as extended XYZ:
```
4
Lattice="4.247 -1.811 0.000 4.247 1.811 0.000 -1.334 0.000 8.119" Properties=species:S:1:pos:R:3 pbc="T T T"
La 1.786 0.000 1.837
La 5.374 0.000 6.282
Cr 4.247 0.000 0.000
Pb -0.667 0.000 4.060
```

=====

La2CrPb | PBE | optimized geometry

Its electronic total energy is -23.27 eV/cell. As for the space group: No. 44. The calculation puts the density at 7.685 Mg/m³. For the density of states at the Fermi level, the calculation gives 0.81 states/eV per atom.

Cell and atoms, written as extended XYZ:
```
4
Lattice="-2.164 2.483 5.399 2.164 -2.483 5.399 2.164 2.483 -5.399" Properties=species:S:1:pos:R:3 pbc="T T T"
La 0.000 0.000 0.000
La 0.000 2.483 2.409
Cr 0.000 0.000 4.994
Pb 2.164 0.000 2.944
```

=====

LaCr2Pb | PBE | optimized geometry

Its electronic total energy is -26.97 eV/cell. As for the space group: No. 99. The calculation puts the density at 8.533 Mg/m³. For the density of states at the Fermi level, the calculation gives 0.79 states/eV per atom.

Cell and atoms, written as extended XYZ:
```
4
Lattice="3.327 0.000 0.000 0.000 3.327 0.000 0.000 0.000 7.915" Properties=species:S:1:pos:R:3 pbc="T T T"
La 0.000 0.000 0.000
Cr 0.000 0.000 4.616
Cr 1.663 1.663 5.614
Pb 1.663 1.663 2.632
```

=====

LaCr3Pb | PBE | optimized geometry

Its electronic total energy is -31.76 eV/cell. As for the space group: No. 221. The calculation puts the density at 5.833 Mg/m³. For the density of states at the Fermi level, the calculation gives 1.03 states/eV per atom.

Cell and atoms, written as extended XYZ:
```
5
Lattice="5.229 0.000 0.000 0.000 5.229 0.000 0.000 0.000 5.229" Properties=species:S:1:pos:R:3 pbc="T T T"
La 0.000 0.000 0.000
Cr 0.000 2.614 2.614
Cr 2.614 0.000 2.614
Cr 2.614 2.614 0.000
Pb 2.614 2.614 2.614
```

=====

LaCr2Pb | PBE | optimized geometry

Its electronic total energy is -26.55 eV/cell. As for the space group: No. 44. The calculation puts the density at 7.787 Mg/m³. For the density of states at the Fermi level, the calculation gives 0.49 states/eV per atom.

Cell and atoms, written as extended XYZ:
```
4
Lattice="-2.332 2.683 3.835 2.332 -2.683 3.835 2.332 2.683 -3.835" Properties=species:S:1:pos:R:3 pbc="T T T"
La 0.000 0.000 0.000
Cr 0.000 0.000 4.124
Cr 0.000 2.683 1.616
Pb 2.332 0.000 2.155
```

=====

La2CrPb | PBE | optimized geometry

Its electronic total energy is -22.58 eV/cell. As for the space group: No. 216. The calculation puts the density at 8.262 Mg/m³. For the density of states at the Fermi level, the calculation gives 0.68 states/eV per atom.

Cell and atoms, written as extended XYZ:
```
4
Lattice="0.000 3.779 3.779 3.779 0.000 3.779 3.779 3.779 0.000" Properties=species:S:1:pos:R:3 pbc="T T T"
La 0.000 0.000 0.000
La 1.890 1.890 1.890
Cr 3.779 3.779 3.779
Pb 5.669 5.669 5.669
```

=====

LaCrPb3 | PBE | optimized geometry

Its electronic total energy is -17.59 eV/cell. As for the space group: No. 221. The calculation puts the density at 6.229 Mg/m³. For the density of states at the Fermi level, the calculation gives 1.93 states/eV per atom.

Cell and atoms, written as extended XYZ:
```
5
Lattice="6.006 0.000 0.000 0.000 6.006 0.000 0.000 0.000 6.006" Properties=species:S:1:pos:R:3 pbc="T T T"
La 0.000 0.000 0.000
Cr 3.003 3.003 3.003
Pb 0.000 0.000 3.003
Pb 0.000 3.003 0.000
Pb 3.003 0.000 0.000
```

=====

LaCr2Pb2 | PBE | optimized geometry

Its electronic total energy is -56.19 eV/cell. As for the space group: No. 127. The calculation puts the density at 10.121 Mg/m³. For the density of states at the Fermi level, the calculation gives 2.14 states/eV per atom.

Cell and atoms, written as extended XYZ:
```
10
Lattice="8.328 0.000 0.000 0.000 8.328 0.000 0.000 0.000 3.110" Properties=species:S:1:pos:R:3 pbc="T T T"
La 0.000 0.000 0.000
La 4.164 4.164 0.000
Cr 1.178 2.986 1.555
Cr 2.986 7.151 1.555
Cr 5.342 1.178 1.555
Cr 7.151 5.342 1.555
Pb 1.222 5.386 0.000
Pb 2.943 1.222 0.000
Pb 5.386 7.107 0.000
Pb 7.107 2.943 0.000
```

=====

LaCr2Pb | PBE | optimized geometry

Its electronic total energy is -25.72 eV/cell. As for the space group: No. 123. The calculation puts the density at 7.741 Mg/m³. For the density of states at the Fermi level, the calculation gives 1.07 states/eV per atom.

Cell and atoms, written as extended XYZ:
```
4
Lattice="3.722 0.000 0.000 0.000 3.722 0.000 0.000 0.000 6.969" Properties=species:S:1:pos:R:3 pbc="T T T"
La 0.000 0.000 0.000
Cr 1.861 1.861 1.948
Cr 1.861 1.861 5.021
Pb 0.000 0.000 3.484
```

=====

La2CrPb | PBE | optimized geometry

Its electronic total energy is -23.27 eV/cell. As for the space group: No. 139. The calculation puts the density at 7.626 Mg/m³. For the density of states at the Fermi level, the calculation gives 1.04 states/eV per atom.

Cell and atoms, written as extended XYZ:
```
4
Lattice="-2.520 2.520 4.604 2.520 -2.520 4.604 2.520 2.520 -4.604" Properties=species:S:1:pos:R:3 pbc="T T T"
La 2.520 0.000 2.302
La 0.000 2.520 2.302
Cr 0.000 0.000 0.000
Pb 0.000 0.000 4.604
```

=====

La4CrPb | PBE | optimized geometry

Its electronic total energy is -30.54 eV/cell. As for the space group: No. 216. The calculation puts the density at 6.920 Mg/m³. For the density of states at the Fermi level, the calculation gives 1.46 states/eV per atom.

Cell and atoms, written as extended XYZ:
```
6
Lattice="0.000 4.607 4.607 4.607 0.000 4.607 4.607 4.607 0.000" Properties=species:S:1:pos:R:3 pbc="T T T"
La 1.141 1.141 1.141
La 3.466 3.466 1.141
La 3.466 1.141 3.466
La 1.141 3.466 3.466
Cr 4.607 4.607 4.607
Pb 6.910 6.910 6.910
```

=====

La3CrPb | PBE | optimized geometry

Its electronic total energy is -28.35 eV/cell. As for the space group: No. 221. The calculation puts the density at 7.603 Mg/m³. For the density of states at the Fermi level, the calculation gives 0.84 states/eV per atom.

Cell and atoms, written as extended XYZ:
```
5
Lattice="5.285 0.000 0.000 0.000 5.285 0.000 0.000 0.000 5.285" Properties=species:S:1:pos:R:3 pbc="T T T"
La 0.000 0.000 2.643
La 0.000 2.643 0.000
La 2.643 0.000 0.000
Cr 0.000 0.000 0.000
Pb 2.643 2.643 2.643
```

=====

La2CrPb | PBE | optimized geometry

Its electronic total energy is -22.49 eV/cell. As for the space group: No. 166. The calculation puts the density at 7.245 Mg/m³. For the density of states at the Fermi level, the calculation gives 1.05 states/eV per atom.

Cell and atoms, written as extended XYZ:
```
4
Lattice="1.934 1.116 9.504 -1.934 1.116 9.504 0.000 -2.233 9.504" Properties=species:S:1:pos:R:3 pbc="T T T"
La 0.000 0.000 6.863
La 0.000 0.000 21.648
Cr 0.000 0.000 14.256
Pb 0.000 0.000 0.000
```

=====

LaCr2Pb | PBE | optimized geometry

Its electronic total energy is -26.05 eV/cell. As for the space group: No. 123. The calculation puts the density at 7.773 Mg/m³. For the density of states at the Fermi level, the calculation gives 1.09 states/eV per atom.

Cell and atoms, written as extended XYZ:
```
4
Lattice="4.708 0.000 0.000 0.000 4.708 0.000 0.000 0.000 4.339" Properties=species:S:1:pos:R:3 pbc="T T T"
La 0.000 0.000 0.000
Cr 0.000 2.354 2.169
Cr 2.354 0.000 2.169
Pb 2.354 2.354 0.000
```

=====

La2CrPb | PBE | optimized geometry

Its electronic total energy is -23.39 eV/cell. As for the space group: No. 123. The calculation puts the density at 7.561 Mg/m³. For the density of states at the Fermi level, the calculation gives 0.72 states/eV per atom.

Cell and atoms, written as extended XYZ:
```
4
Lattice="5.124 0.000 0.000 0.000 5.124 0.000 0.000 0.000 4.493" Properties=species:S:1:pos:R:3 pbc="T T T"
La 0.000 2.562 0.000
La 2.562 0.000 0.000
Cr 0.000 0.000 2.246
Pb 2.562 2.562 2.246
```

=====

La2CrPb | PBE | optimized geometry

Its electronic total energy is -23.20 eV/cell. As for the space group: No. 10. The calculation puts the density at 7.503 Mg/m³. For the density of states at the Fermi level, the calculation gives 0.71 states/eV per atom.

Cell and atoms, written as extended XYZ:
```
4
Lattice="3.862 0.000 0.000 0.000 3.841 0.000 -0.011 0.000 8.012" Properties=species:S:1:pos:R:3 pbc="T T T"
La 0.001 0.000 2.174
La 3.850 0.000 5.838
Cr 1.925 1.920 4.006
Pb 1.931 1.920 0.000
```

=====

La2CrPb | PBE | optimized geometry

Its electronic total energy is -23.18 eV/cell. As for the space group: No. 65. The calculation puts the density at 7.571 Mg/m³. For the density of states at the Fermi level, the calculation gives 0.74 states/eV per atom.

Cell and atoms, written as extended XYZ:
```
4
Lattice="3.531 -4.525 0.000 3.531 4.525 0.000 0.000 0.000 3.686" Properties=species:S:1:pos:R:3 pbc="T T T"
La 1.765 2.262 0.000
La 1.765 -2.262 0.000
Cr 0.000 0.000 1.843
Pb 3.531 0.000 1.843
```

=====

La2CrPb | PBE | optimized geometry

Its electronic total energy is -44.36 eV/cell. As for the space group: No. 122. The calculation puts the density at 7.540 Mg/m³. For the density of states at the Fermi level, the calculation gives 1.23 states/eV per atom.

Cell and atoms, written as extended XYZ:
```
8
Lattice="-4.282 4.282 3.225 4.282 -4.282 3.225 4.282 4.282 -3.225" Properties=species:S:1:pos:R:3 pbc="T T T"
La 6.423 1.819 -0.806
La 1.819 2.141 0.806
La -2.141 2.463 2.419
La 2.463 2.141 4.032
Cr 0.000 0.000 0.000
Cr 0.000 4.282 1.613
Pb 4.282 0.000 1.613
Pb 0.000 0.000 3.225
```

=====

La2CrPb | PBE | optimized geometry

Its electronic total energy is -22.55 eV/cell. As for the space group: No. 99. The calculation puts the density at 7.594 Mg/m³. For the density of states at the Fermi level, the calculation gives 1.29 states/eV per atom.

Cell and atoms, written as extended XYZ:
```
4
Lattice="3.638 0.000 0.000 0.000 3.638 0.000 0.000 0.000 8.870" Properties=species:S:1:pos:R:3 pbc="T T T"
La 0.000 0.000 0.000
La 1.819 1.819 2.996
Cr 1.819 1.819 6.878
Pb 0.000 0.000 5.342
```

=====

LaCr2Pb | PBE | optimized geometry

Its electronic total energy is -24.81 eV/cell. As for the space group: No. 166. The calculation puts the density at 7.616 Mg/m³. For the density of states at the Fermi level, the calculation gives 0.80 states/eV per atom.

Cell and atoms, written as extended XYZ:
```
4
Lattice="1.657 0.957 10.320 -1.657 0.957 10.320 0.000 -1.913 10.320" Properties=species:S:1:pos:R:3 pbc="T T T"
La 0.000 0.000 0.000
Cr 0.000 0.000 7.659
Cr 0.000 0.000 23.302
Pb 0.000 0.000 15.480
```

=====

LaCrPb3 | PBE | optimized geometry

Its electronic total energy is -24.97 eV/cell. As for the space group: No. 221. The calculation puts the density at 9.159 Mg/m³. For the density of states at the Fermi level, the calculation gives 0.89 states/eV per atom.

Cell and atoms, written as extended XYZ:
```
5
Lattice="5.281 0.000 0.000 0.000 5.281 0.000 0.000 0.000 5.281" Properties=species:S:1:pos:R:3 pbc="T T T"
La 0.000 0.000 0.000
Cr 2.641 2.641 2.641
Pb 0.000 2.641 2.641
Pb 2.641 0.000 2.641
Pb 2.641 2.641 0.000
```

=====

La2CrPb2 | PBE | optimized geometry

Its electronic total energy is -53.02 eV/cell. As for the space group: No. 127. The calculation puts the density at 8.583 Mg/m³. For the density of states at the Fermi level, the calculation gives 1.62 states/eV per atom.

Cell and atoms, written as extended XYZ:
```
10
Lattice="7.585 0.000 0.000 0.000 7.585 0.000 0.000 0.000 5.006" Properties=species:S:1:pos:R:3 pbc="T T T"
La 1.294 2.499 0.000
La 2.499 6.291 0.000
La 5.086 1.294 0.000
La 6.291 5.086 0.000
Cr 0.000 0.000 2.503
Cr 3.792 3.792 2.503
Pb 1.101 4.894 2.503
Pb 2.691 1.101 2.503
Pb 4.894 6.483 2.503
Pb 6.483 2.691 2.503
```

=====

LaCr4Pb | PBE | optimized geometry

Its electronic total energy is -43.56 eV/cell. As for the space group: No. 216. The calculation puts the density at 9.036 Mg/m³. For the density of states at the Fermi level, the calculation gives 1.53 states/eV per atom.

Cell and atoms, written as extended XYZ:
```
6
Lattice="0.000 3.706 3.706 3.706 0.000 3.706 3.706 3.706 0.000" Properties=species:S:1:pos:R:3 pbc="T T T"
La 0.000 0.000 0.000
Cr 2.757 2.757 2.757
Cr 4.656 4.656 2.757
Cr 4.656 2.757 4.656
Cr 2.757 4.656 4.656
Pb 5.559 5.559 5.559
```

=====

LaCr2Pb2 | PBE | optimized geometry

Its electronic total energy is -30.03 eV/cell. As for the space group: No. 139. The calculation puts the density at 9.709 Mg/m³. For the density of states at the Fermi level, the calculation gives 0.88 states/eV per atom.

Cell and atoms, written as extended XYZ:
```
5
Lattice="-1.752 1.752 9.153 1.752 -1.752 9.153 1.752 1.752 -9.153" Properties=species:S:1:pos:R:3 pbc="T T T"
La 0.000 0.000 0.000
Cr 1.752 0.000 4.577
Cr 0.000 1.752 4.577
Pb 0.000 0.000 6.786
Pb 0.000 0.000 11.521
```

=====

LaCrTePb2 | PBE | optimized geometry

The formation energy without anion corrections is 1.03 eV per atom. As for the space group: No. 123. The calculation puts the density at 6.283 Mg/m³. For the density of states at the Fermi level, the calculation gives 0.97 states/eV per atom.

Cell and atoms, written as extended XYZ:
```
5
Lattice="6.173 0.000 0.000 0.000 6.173 0.000 0.000 0.000 5.082" Properties=species:S:1:pos:R:3 pbc="T T T"
La 0.000 0.000 0.000
Cr 0.000 0.000 2.541
Te 3.087 3.087 2.541
Pb 0.000 3.087 0.000
Pb 3.087 0.000 0.000
```

=====

La2ZrCrPb | PBE | optimized geometry

Its electronic total energy is -29.16 eV/cell. As for the space group: No. 123. The calculation puts the density at 7.425 Mg/m³. For the density of states at the Fermi level, the calculation gives 1.69 states/eV per atom.

Cell and atoms, written as extended XYZ:
```
5
Lattice="5.143 0.000 0.000 0.000 5.143 0.000 0.000 0.000 5.312" Properties=species:S:1:pos:R:3 pbc="T T T"
La 0.000 2.571 0.000
La 2.571 0.000 0.000
Zr 0.000 0.000 2.656
Cr 2.571 2.571 0.000
Pb 2.571 2.571 2.656
```

=====

LaCrPd2 | PBE | optimized geometry

Its electronic total energy is -24.30 eV/cell. As for the space group: No. 225. The calculation puts the density at 8.555 Mg/m³. For the density of states at the Fermi level, the calculation gives 2.76 states/eV per atom.

Cell and atoms, written as extended XYZ:
```
4
Lattice="0.000 3.397 3.397 3.397 0.000 3.397 3.397 3.397 0.000" Properties=species:S:1:pos:R:3 pbc="T T T"
La 0.000 0.000 0.000
Cr 3.397 3.397 3.397
Pd 1.698 1.698 1.698
Pd 5.095 5.095 5.095
```

=====

LaCrPd3 | PBE | optimized geometry

Its electronic total energy is -26.06 eV/cell. As for the space group: No. 221. The calculation puts the density at 6.266 Mg/m³. For the density of states at the Fermi level, the calculation gives 0.53 states/eV per atom.

Cell and atoms, written as extended XYZ:
```
5
Lattice="5.132 0.000 0.000 0.000 5.132 0.000 0.000 0.000 5.132" Properties=species:S:1:pos:R:3 pbc="T T T"
La 0.000 0.000 0.000
Cr 2.566 2.566 2.566
Pd 0.000 0.000 2.566
Pd 0.000 2.566 0.000
Pd 2.566 0.000 0.000
```

=====

LaCrPd4 | PBE | optimized geometry

Its electronic total energy is -37.53 eV/cell. As for the space group: No. 216. The calculation puts the density at 9.123 Mg/m³. For the density of states at the Fermi level, the calculation gives 0.69 states/eV per atom.

Cell and atoms, written as extended XYZ:
```
6
Lattice="0.000 3.828 3.828 3.828 0.000 3.828 3.828 3.828 0.000" Properties=species:S:1:pos:R:3 pbc="T T T"
La 0.000 0.000 0.000
Cr 1.914 1.914 1.914
Pd 4.781 2.876 2.876
Pd 2.876 4.781 2.876
Pd 2.876 2.876 4.781
Pd 4.781 4.781 4.781
```